CuSiMoF2: optimized geometry, PBE+U.

Cell: 3.754 5.680 3.754 Å, 90.00 90.00 90.00°
Fractional positions:
1 F 0.500 0.000 0.000
2 Si 0.000 0.500 0.000
3 Mo 0.500 0.500 0.500
4 Cu 0.000 0.000 0.000
5 F 0.000 0.000 0.500

* Fermi-level density of states: 1.5 states/eV/cell
* ρ: 4.68 g/cm³
* crystal system: tetragonal
* space group: P4/mmm (123)
* magnetic moment: 2.6 μB per formula unit
* final energy: -22.3 eV per cell